(1)
A relaxed NaSrTl2Pt crystal, computed with PBE.

Calculated values
SG: P4/mmm (123)
Calculated volume in Å³/cell: 169

a b c (Å): 5.413 5.413 5.765
angles (deg): 90.00 90.00 90.00
Atoms (fractional coordinates):
Tl  0.500  0.000  0.000
Tl  0.000  0.500  0.000
Pt  0.000  0.000  0.000
Sr  0.000  0.000  0.500
Na  0.500  0.500  0.500

---

(2)
A relaxed NaSrTlPt crystal, computed with PBE.

Calculated values
SG: F-43m (216)
Calculated volume in Å³/cell: 98

a b c (Å): 5.179 5.179 5.179
angles (deg): 60.00 60.00 60.00
Atoms (fractional coordinates):
Na  0.250  0.250  0.250
Sr  0.000  0.000  0.000
Tl  0.500  0.500  0.500
Pt  0.750  0.750  0.750

---

(3)
A relaxed Na2Sr6TlPt crystal, computed with PBE.

Calculated values
SG: Immm (71)
Calculated volume in Å³/cell: 486

a b c (Å): 8.826 8.826 8.850
angles (deg): 120.11 120.11 90.05
Atoms (fractional coordinates):
Sr  0.239  0.761  0.000
Sr  0.240  0.241  0.002
Sr  0.760  0.760  0.998
Sr  0.760  0.760  0.521
Sr  0.240  0.241  0.478
Sr  0.761  0.240  0.000
Pt  0.000  0.000  0.000
Na  0.750  0.251  0.500
Na  0.250  0.750  0.500
Tl  0.500  0.500  0.000

---

Number 1: ΔH_f (0 K) -1.1 eV/f.u., size of the total moment 0.00 μB/f.u.. Number 2: ΔH_f (0 K) -1.3 eV/f.u., size of the total moment 0.00 μB/f.u.. Number 3: ΔH_f (0 K) -2.3 eV/f.u., size of the total moment 0.00 μB/f.u..